VASP calculation (PBE-GGA) on a geometry-optimized Rb2ZrV structure.

Unit cell a=9.979 b=9.979 c=9.979 alpha=93.24 beta=93.24 gamma=152.49
Atoms (fractional coordinates):
Rb 0.375 0.213 0.338
Rb 0.787 0.125 0.162
Rb 0.875 0.037 0.662
Rb 0.963 0.625 0.838
Zr 0.250 0.750 0.500
Zr 0.500 0.500 0.000
V 0.000 0.000 0.000
V 0.750 0.250 0.500

- Symmetry: I-42d
- E above lowest polymorph: 0.000 eV per atom
- Electronic total energy: -3.518 eV/atom
- Calculated density: 2.332 g/cm³